This record from Alexandria describes a geometry-optimized LaTlPd2 structure. The functional is PBE.

Cell: 4.736 4.736 18.302 Å, 90.00 90.00 90.00°
Space group I-42d (No. 122)
Unique sites:
La1 0.000 0.000 0.000
Tl1 0.000 0.000 0.500
Pd1 0.183 0.250 0.625

Computed properties:
ρ: 9.00 g cm⁻³
energy of formation from the pure elements: -0.864 eV per formula unit
DOS(E_F): 1.012 states/eV per atom